Entry 1:
A plane-wave DFT calculation with PBE was carried out for an optimized crystal structure of Sr2CoCl.

Output
crystal system	orthorhombic
excess energy over the best structure of this formula in the dataset	0.0798	eV/atom
energy relative to the elements, uncorrected	-0.470	eV/atom
final energy	-28.390	eV per cell

a b c (Å): 3.776 3.870 15.914
angles (deg): 90.00 90.00 90.00
Space group Imm2 (No. 44)
Unique sites:
Sr 0.000 0.000 0.000 x2
Sr 0.000 0.500 0.276 x2
Co 0.000 0.000 0.413 x2
Cl 0.000 0.500 0.669 x2

---

Entry 2:
A plane-wave DFT calculation with PBE was carried out for an optimized crystal structure of Sr2CoCl.

Output
crystal system	tetragonal
excess energy over the best structure of this formula in the dataset	0.0218	eV/atom
energy relative to the elements, uncorrected	-0.528	eV/atom
final energy	-14.427	eV per cell

a b c (Å): 3.638 3.638 7.948
angles (deg): 90.00 90.00 90.00
Space group P4/mmm (No. 123)
Unique sites:
Sr 0.000 0.000 0.223 x2
Co 0.500 0.500 0.000 x1
Cl 0.500 0.500 0.500 x1

---

Entry 3:
A plane-wave DFT calculation with PBE was carried out for an optimized crystal structure of Sr2CoCl.

Output
crystal system	orthorhombic
excess energy over the best structure of this formula in the dataset	0.1051	eV/atom
energy relative to the elements, uncorrected	-0.444	eV/atom
final energy	-28.187	eV per cell

a b c (Å): 4.956 3.759 11.665
angles (deg): 90.00 90.00 90.00
Space group Amm2 (No. 38)
Unique sites:
Sr 0.000 0.000 0.000 x2
Sr 0.500 0.000 0.263 x2
Co 0.000 0.000 0.749 x2
Cl 0.500 0.000 0.524 x2

---

Entry 4:
A plane-wave DFT calculation with PBE was carried out for an optimized crystal structure of Sr2CoCl.

Output
crystal system	cubic
excess energy over the best structure of this formula in the dataset	0.8289	eV/atom
energy relative to the elements, uncorrected	0.279	eV/atom
final energy	-44.795	eV per cell

a b c (Å): 7.569 7.569 7.569
angles (deg): 90.00 90.00 90.00
Space group F-43m (No. 216)
Unique sites:
Sr 0.000 0.000 0.000 x4
Sr 0.250 0.250 0.250 x4
Co 0.000 0.000 0.500 x4
Cl 0.250 0.250 0.750 x4

---

Entry 5:
A plane-wave DFT calculation with PBE was carried out for an optimized crystal structure of Sr2Co2Cl.

Output
crystal system	tetragonal
excess energy over the best structure of this formula in the dataset	0.1492	eV/atom
energy relative to the elements, uncorrected	0.102	eV/atom
final energy	-37.820	eV per cell

a b c (Å): 5.845 5.845 7.146
angles (deg): 90.00 90.00 90.00
Space group I4/mmm (No. 139)
Unique sites:
Sr 0.000 0.500 0.250 x4
Co 0.000 0.000 0.152 x4
Cl 0.000 0.000 0.500 x2

---

Entry 6:
A plane-wave DFT calculation with PBE was carried out for an optimized crystal structure of Sr4CoCl.

Output
crystal system	cubic
energy relative to the elements, uncorrected	0.609	eV/atom
final energy	-48.105	eV per cell

a b c (Å): 10.384 10.384 10.384
angles (deg): 90.00 90.00 90.00
Space group F-43m (No. 216)
Unique sites:
Sr 0.124 0.124 0.376 x16
Co 0.250 0.250 0.750 x4
Cl 0.000 0.000 0.000 x4

---

Repeat the first record exactly.
A plane-wave DFT calculation with PBE was carried out for an optimized crystal structure of Sr2CoCl.

Output
crystal system	orthorhombic
excess energy over the best structure of this formula in the dataset	0.0798	eV/atom
energy relative to the elements, uncorrected	-0.470	eV/atom
final energy	-28.390	eV per cell

a b c (Å): 3.776 3.870 15.914
angles (deg): 90.00 90.00 90.00
Space group Imm2 (No. 44)
Unique sites:
Sr 0.000 0.000 0.000 x2
Sr 0.000 0.500 0.276 x2
Co 0.000 0.000 0.413 x2
Cl 0.000 0.500 0.669 x2

---

Q: Which formula does entry 1 have?
A: Sr2CoCl

---

Q: What is the final energy in the fourth record?
A: -44.795 eV per cell